(1)
! Ca2CdSn2Pd5 PBE-GGA relaxed; values from VASP
! - Energy of formation from the pure elements: -0.57 eV/atom
! - D(E_F): 0.463 states/eV/atom
! - Total magnetization: 0.000 μB/atom
! - Calculated volume: 20.64 Å³/atom
&SYSTEM
  ibrav = 0, nat = 20, ntyp = 4
/
ATOMIC_SPECIES
Sn 118.71 Sn.upf
Pd 106.42 Pd.upf
Ca 40.08 Ca.upf
Cd 112.41 Cd.upf
ATOMIC_POSITIONS crystal
Sn 0.000 0.870 0.370
Pd 0.500 0.948 0.198
Pd 0.500 0.698 0.448
Pd 0.500 0.198 0.052
Pd 0.500 0.448 0.302
Ca 0.000 0.170 0.330
Pd 0.500 0.500 0.000
Pd 0.500 0.552 0.698
Sn 0.000 0.130 0.630
Pd 0.500 0.000 0.500
Ca 0.000 0.830 0.670
Sn 0.000 0.630 0.870
Ca 0.000 0.670 0.170
Pd 0.500 0.302 0.552
Ca 0.000 0.330 0.830
Cd 0.000 0.500 0.500
Sn 0.000 0.370 0.130
Pd 0.500 0.802 0.948
Cd 0.000 0.000 0.000
Pd 0.500 0.052 0.802
CELL_PARAMETERS angstrom
-1.979 -2.684 -1.614
8.393 -2.699 -5.803
3.028 -6.757 7.522

(2)
! SrCaCd2Pd PBE-GGA relaxed; values from VASP
! - Energy of formation from the pure elements: -0.31 eV/atom
! - D(E_F): 0.502 states/eV/atom
! - Total magnetization: 0.000 μB/atom
! - Calculated volume: 30.28 Å³/atom
&SYSTEM
  ibrav = 0, nat = 5, ntyp = 4
/
ATOMIC_SPECIES
Cd 112.41 Cd.upf
Ca 40.08 Ca.upf
Sr 87.62 Sr.upf
Pd 106.42 Pd.upf
ATOMIC_POSITIONS crystal
Cd 0.000 0.500 0.000
Cd 0.500 0.000 0.000
Ca 0.000 0.000 0.500
Sr 0.500 0.500 0.500
Pd 0.000 0.000 0.000
CELL_PARAMETERS angstrom
-2.596 -3.421 3.246
2.667 -4.121 -2.211
3.775 0.526 3.572

(3)
! SrCa2CdPd PBE-GGA relaxed; values from VASP
! - Energy of formation from the pure elements: -0.31 eV/atom
! - D(E_F): 0.581 states/eV/atom
! - Total magnetization: 0.000 μB/atom
! - Polymorph energy (0 for the lowest one): 0.00 eV per formula unit
! - Calculated volume: 36.48 Å³/atom
&SYSTEM
  ibrav = 0, nat = 5, ntyp = 4
/
ATOMIC_SPECIES
Ca 40.08 Ca.upf
Cd 112.41 Cd.upf
Sr 87.62 Sr.upf
Pd 106.42 Pd.upf
ATOMIC_POSITIONS crystal
Ca 0.500 0.000 0.000
Cd 0.500 0.500 0.500
Sr 0.000 0.000 0.500
Ca 0.000 0.500 0.000
Pd 0.000 0.000 0.000
CELL_PARAMETERS angstrom
5.568 0.000 0.000
0.000 5.568 0.000
0.000 0.000 5.883